## w
Below is a relaxed BeZnF4 crystal, with properties calculated at the GGA-PBE level.

a = 7.6400 Å, b = 5.3005 Å, c = 5.3005 Å
α = 121.29°, β = 136.11°, γ = 43.89°
Sites, in units of the cell vectors:
Be: 0.7500 0.5000 0.5000
Zn: 0.5000 0.0000 0.0000
F: 0.6521 0.8414 0.4153
F: 0.0781 0.1586 0.5847
F: 0.5066 0.4153 0.1586
F: 0.7633 0.5847 0.8414

Calculated values
The symmetry is I-4 (82).



## x
Below is a relaxed BeZnF4 crystal, with properties calculated at the GGA-PBE level.

a = 2.9034 Å, b = 4.6509 Å, c = 5.0649 Å
α = 93.76°, β = 90.00°, γ = 90.00°
Sites, in units of the cell vectors:
Be: 0.0000 0.0000 0.0000
Zn: 0.5000 0.0000 0.5000
F: 0.0000 0.7960 0.7068
F: 0.5000 0.2020 0.8676
F: 0.5000 0.7980 0.1324
F: 0.0000 0.2040 0.2932

Calculated values
The symmetry is P2/m (10).



w is favored, and the nearest alternative lies 22.3 kJ/mol of atoms above it.



## w
Below is a relaxed Be2ZnF crystal, with properties calculated at the GGA-PBE level.

a = 4.0911 Å, b = 4.0911 Å, c = 4.0911 Å
α = 60.00°, β = 60.00°, γ = 60.00°
Sites, in units of the cell vectors:
Be: 0.2500 0.2500 0.2500
Be: 0.7500 0.7500 0.7500
Zn: 0.5000 0.5000 0.5000
F: 0.0000 0.0000 0.0000

Calculated values
The symmetry is Fm-3m (225).



## x
Below is a relaxed Be2ZnF crystal, with properties calculated at the GGA-PBE level.

a = 4.9540 Å, b = 4.9540 Å, c = 5.3456 Å
α = 62.40°, β = 62.40°, γ = 90.00°
Sites, in units of the cell vectors:
Be: 0.5444 0.1250 0.2500
Be: 0.2056 0.6250 0.2500
Be: 0.3750 0.4556 0.7500
Be: 0.8750 0.7944 0.7500
Zn: 0.0000 0.0000 0.0000
Zn: 0.7500 0.2500 0.5000
F: 0.5000 0.5000 0.0000
F: 0.2500 0.7500 0.5000

Calculated values
The symmetry is I-42d (122).



x is favored, and the nearest alternative lies 46.7 kJ/mol of atoms above it.



## w
Below is a relaxed Be3ZnF crystal, with properties calculated at the GGA-PBE level.

a = 3.7618 Å, b = 3.7618 Å, c = 3.7618 Å
α = 90.00°, β = 90.00°, γ = 90.00°
Sites, in units of the cell vectors:
Be: 0.0000 0.5000 0.0000
Be: 0.0000 0.0000 0.5000
Be: 0.5000 0.0000 0.0000
Zn: 0.5000 0.5000 0.5000
F: 0.0000 0.0000 0.0000

Calculated values
The symmetry is Pm-3m (221).



## x
Below is a relaxed Be3ZnF crystal, with properties calculated at the GGA-PBE level.

a = 4.2161 Å, b = 4.2161 Å, c = 4.2161 Å
α = 90.00°, β = 90.00°, γ = 90.00°
Sites, in units of the cell vectors:
Be: 0.0000 0.5000 0.0000
Be: 0.0000 0.0000 0.5000
Be: 0.5000 0.0000 0.0000
Zn: 0.0000 0.0000 0.0000
F: 0.5000 0.5000 0.5000

Calculated values
The symmetry is Pm-3m (221).



w is favored, and the nearest alternative lies 39.3 kJ/mol of atoms above it.